The following is a PBE calculation of a geometry-optimized TcSb3P structure, from the Alexandria database.

a b c (Å): 5.087 5.087 5.087
angles (deg): 90.00 90.00 90.00
Space group Pm-3m (No. 221)
Inequivalent atoms, fractional coordinates:
Tc: 0.000 0.000 0.000 (multiplicity 1)
Sb: 0.000 0.000 0.500 (multiplicity 3)
P: 0.500 0.500 0.500 (multiplicity 1)

ΔE_f (raw) = 0.67 eV per atom
E above lowest polymorph = 0.0 meV/atom
Size of the total moment = 0.00 Bohr magnetons per cell
Crystal system = cubic